# 1
A relaxed structure of ZnFe2Ir. Source: Alexandria via LeMat-Bulk, functional GGA-PBEsol.

Cell: 4.1341 4.1341 4.1341 Å, 60.00 60.00 60.00°
Site moments in Bohr magnetons follow the coordinates.
Sites, in units of the cell vectors:
Fe 0.0000 0.0000 0.0000  2.53
Fe 0.7500 0.7500 0.7500  2.67
Zn 0.2500 0.2500 0.2500  -0.02
Ir 0.5000 0.5000 0.5000  0.45

Values from the calculation:
As for the symmetry: F-43m. For the formation energy, the calculation gives -0.01 eV/atom.

# 2
A relaxed structure of ZnFe2Ir. Source: Alexandria via LeMat-Bulk, functional GGA-PBEsol.

Cell: 2.8647 4.2150 4.8470 Å, 115.77 107.19 90.00°
Site moments in Bohr magnetons follow the coordinates.
Sites, in units of the cell vectors:
Ir 0.4933 0.4933 0.9866  0.43
Fe 0.0101 0.0101 0.0202  2.41
Fe 0.7380 0.2380 0.4760  2.55
Zn 0.2586 0.7586 0.5173  -0.05

Values from the calculation:
As for the symmetry: Imm2. For the formation energy, the calculation gives 0.00 eV/atom.

# 3
A relaxed structure of ZnFeIr2. Source: Alexandria via LeMat-Bulk, functional GGA-PBEsol.

Cell: 2.7030 2.7030 7.1231 Å, 90.00 90.00 90.00°
Site moments in Bohr magnetons follow the coordinates.
Sites, in units of the cell vectors:
Ir 0.0000 0.0000 0.7336  0.00
Ir 0.0000 0.0000 0.2664  0.00
Zn 0.5000 0.5000 0.0000  -0.01
Fe 0.5000 0.5000 0.5000  1.59

Values from the calculation:
As for the symmetry: P4/mmm. For the formation energy, the calculation gives -0.08 eV/atom.

# 4
A relaxed structure of ZnFe2Ir. Source: Alexandria via LeMat-Bulk, functional GGA-PBEsol.

Cell: 2.6110 3.7163 5.1031 Å, 90.00 89.99 90.00°
Site moments in Bohr magnetons follow the coordinates.
Sites, in units of the cell vectors:
Ir 0.5000 0.5000 0.0000  0.11
Fe 0.0000 0.0000 0.2473  2.29
Fe 0.0000 0.0000 0.7527  2.29
Zn 0.5000 0.5000 0.5000  -0.05

Values from the calculation:
As for the symmetry: Pmmm. For the formation energy, the calculation gives 0.00 eV/atom.

# 5
A relaxed structure of ZrFe4Ir. Source: Alexandria via LeMat-Bulk, functional GGA-PBEsol.

Cell: 4.7611 4.7611 4.7611 Å, 60.00 60.00 60.00°
Site moments in Bohr magnetons follow the coordinates.
Sites, in units of the cell vectors:
Ir 0.7500 0.7500 0.7500  0.41
Fe 0.3752 0.3752 0.8744  1.90
Fe 0.8744 0.3752 0.3752  1.90
Fe 0.3752 0.8744 0.3752  1.90
Fe 0.3752 0.3752 0.3752  1.90
Zr 0.0000 0.0000 0.0000  -0.20

Values from the calculation:
As for the symmetry: F-43m. For the formation energy, the calculation gives -0.23 eV/atom.

# 6
A relaxed structure of ZrFeIr3. Source: Alexandria via LeMat-Bulk, functional GGA-PBEsol.

Cell: 4.7357 4.7357 4.7357 Å, 90.00 90.00 90.00°
Site moments in Bohr magnetons follow the coordinates.
Sites, in units of the cell vectors:
Ir 0.0000 0.0000 0.5000  0.32
Ir 0.5000 0.0000 0.0000  0.32
Ir 0.0000 0.5000 0.0000  0.32
Zr 0.0000 0.0000 0.0000  -0.04
Fe 0.5000 0.5000 0.5000  3.48

Values from the calculation:
As for the symmetry: Pm-3m. For the formation energy, the calculation gives 1.97 eV/atom.

# 7
A relaxed structure of ZrFeIr2. Source: Alexandria via LeMat-Bulk, functional GGA-PBEsol.

Cell: 2.7658 4.2573 5.2794 Å, 90.00 105.19 90.00°
Site moments in Bohr magnetons follow the coordinates.
Sites, in units of the cell vectors:
Fe 0.0000 0.5000 0.5000  2.51
Ir 0.1471 0.0000 0.2753  0.17
Ir 0.8529 0.0000 0.7247  0.17
Zr 0.5000 0.5000 0.0000  -0.13

Values from the calculation:
As for the symmetry: P2/m. For the formation energy, the calculation gives -0.27 eV/atom.

# 8
A relaxed structure of ZrFeIr2. Source: Alexandria via LeMat-Bulk, functional GGA-PBEsol.

Cell: 2.7746 2.7746 7.6024 Å, 90.00 90.00 90.00°
Site moments in Bohr magnetons follow the coordinates.
Sites, in units of the cell vectors:
Ir 0.5000 0.5000 0.2316  -0.23
Ir 0.0000 0.0000 0.9824  0.00
Zr 0.0000 0.0000 0.5117  -0.03
Fe 0.5000 0.5000 0.7743  1.25

Values from the calculation:
As for the symmetry: P4mm. For the formation energy, the calculation gives -0.09 eV/atom.

# 9
A relaxed structure of ZrFeIr2. Source: Alexandria via LeMat-Bulk, functional GGA-PBEsol.

Cell: 3.7971 3.9239 3.9239 Å, 90.00 90.00 90.00°
Site moments in Bohr magnetons follow the coordinates.
Sites, in units of the cell vectors:
Ir 0.0000 0.0000 0.5000  -0.02
Ir 0.0000 0.5000 0.0000  -0.02
Zr 0.5000 0.5000 0.5000  -0.09
Fe 0.5000 0.0000 0.0000  1.87

Values from the calculation:
As for the symmetry: P4/mmm. For the formation energy, the calculation gives -0.49 eV/atom.

# 10
A relaxed structure of Zr3FeIr. Source: Alexandria via LeMat-Bulk, functional GGA-PBEsol.

Cell: 4.6044 4.6044 4.6044 Å, 90.00 90.00 90.00°
Sites, in units of the cell vectors:
Fe 0.0000 0.0000 0.0000
Zr 0.5000 0.0000 0.0000
Zr 0.0000 0.5000 0.0000
Zr 0.0000 0.0000 0.5000
Ir 0.5000 0.5000 0.5000

Values from the calculation:
As for the symmetry: Pm-3m. For the excess energy over the best structure of this formula in the dataset, the calculation gives 0.000 eV/atom. For the formation energy, the calculation gives 0.28 eV/atom.

# 11
A relaxed structure of KFe. Source: Alexandria via LeMat-Bulk, functional GGA-PBEsol.

Cell: 2.9955 5.9045 6.8247 Å, 115.63 102.68 90.00°
Site moments in Bohr magnetons follow the coordinates.
Sites, in units of the cell vectors:
K 0.8986 0.1486 0.7972  0.00
K 0.1014 0.8514 0.2028  0.00
Fe 0.3174 0.5674 0.6348  2.58
Fe 0.6826 0.4326 0.3652  2.58

Values from the calculation:
As for the symmetry: Imma. For the excess energy over the best structure of this formula in the dataset, the calculation gives 0.000 eV/atom. For the formation energy, the calculation gives 1.02 eV/atom.

# 12
A relaxed structure of KFe. Source: Alexandria via LeMat-Bulk, functional GGA-PBEsol.

Cell: 2.8515 2.8515 5.6779 Å, 90.00 90.00 117.02°
Site moments in Bohr magnetons follow the coordinates.
Sites, in units of the cell vectors:
Fe 0.0000 0.0000 0.0000  2.77
K 0.5000 0.5000 0.5000  -0.07

Values from the calculation:
As for the symmetry: Cmmm. For the excess energy over the best structure of this formula in the dataset, the calculation gives 0.437 eV/atom. For the formation energy, the calculation gives 1.45 eV/atom.

Values of V, in order: 12.49, 12.45, 13.01, 12.38, 12.72, 21.24, 15.00, 14.63, 14.62, 19.52, 26.39, 20.56, all in A^3/atom.
Values of spin magnetization, in order: 5.614, 5.357, 1.588, 4.640, 7.744, 4.465, 2.709, 0.954, 1.756, 0.000, 2.706, 2.481, all in μB per formula unit.